# 1
CsMnTlSe2 (PBE-GGA, relaxed); formation energy (no corrections) = -0.678 eV per atom
1.0
9.163 -2.184 0.000
9.163 2.184 0.000
-5.441 0.000 9.203
Cs Mn Tl Se
2 2 2 4
Cartesian
2.700 0.000 2.356
10.185 0.000 6.847
-1.278 0.000 3.991
14.164 0.000 5.211
7.077 0.000 1.211
5.808 0.000 7.992
-1.908 0.000 6.491
3.767 0.000 5.829
9.119 0.000 3.374
14.794 0.000 2.711

***

# 2
CsMnTlSe3 (PBE-GGA, relaxed); formation energy (no corrections) = -0.608 eV per atom
1.0
3.805 -7.256 0.000
3.805 7.256 0.000
-0.110 0.000 7.096
Cs Mn Tl Se
2 2 2 6
Cartesian
3.722 3.835 5.322
3.777 -3.835 1.774
3.777 6.590 1.774
3.722 -6.590 5.322
3.777 1.329 1.774
3.722 -1.329 5.322
1.544 0.040 3.552
3.777 4.202 1.774
1.599 -0.040 0.005
5.900 0.040 7.091
3.722 -4.202 5.322
5.955 -0.040 3.543

***

# 3
CsTmMn2Se4 (PBE-GGA, relaxed); formation energy (no corrections) = -0.624 eV per atom
1.0
6.759 0.000 0.000
0.000 8.806 0.000
0.000 0.000 9.521
Cs Tm Mn Se
2 2 4 8
Cartesian
0.000 0.000 0.000
3.380 4.403 4.761
0.000 0.000 4.761
3.380 4.403 0.000
0.000 4.403 0.966
0.000 4.403 8.555
3.380 0.000 3.794
3.380 0.000 5.727
1.668 1.421 3.144
1.668 7.386 6.378
1.711 2.982 7.904
1.711 5.824 1.617
5.048 2.982 1.617
5.048 5.824 7.904
5.091 1.421 6.378
5.091 7.386 3.144

***

# 4
Cs2Tm2MnSe6 (PBE-GGA, relaxed); formation energy (no corrections) = -1.320 eV per atom
1.0
3.472 -5.961 0.000
3.472 5.961 0.000
-2.512 0.000 8.535
Cs Tm Mn Se
2 2 1 6
Cartesian
3.472 3.901 0.000
3.472 -3.901 0.000
2.216 2.003 4.267
2.216 -2.003 4.267
-1.256 0.000 4.267
-0.189 1.799 5.768
0.846 0.000 2.796
-0.189 -1.799 5.768
4.621 1.799 2.767
3.586 0.000 5.739
4.621 -1.799 2.767

***

# 5
Cs3Tm2MnSe6 (PBE-GGA, relaxed); formation energy (no corrections) = -1.330 eV per atom
1.0
3.669 -6.106 0.000
3.669 6.106 0.000
-2.578 0.000 8.304
Cs Tm Mn Se
3 2 1 6
Cartesian
0.000 0.000 0.000
3.669 2.114 0.000
3.669 -2.114 0.000
2.380 4.121 4.152
2.380 -4.121 4.152
2.380 0.000 4.152
1.277 1.880 2.742
-0.123 0.000 5.768
1.277 -1.880 2.742
3.482 1.880 5.563
4.882 0.000 2.536
3.482 -1.880 5.563

***

# 6
CsTmMnSe4 (PBE-GGA, relaxed); formation energy (no corrections) = -1.072 eV per atom
1.0
6.665 0.000 0.000
0.000 6.781 0.000
-3.239 0.000 9.381
Cs Tm Mn Se
2 2 2 8
Cartesian
0.220 1.695 4.148
3.206 5.086 5.232
-1.285 1.695 8.937
4.712 5.086 0.444
1.317 5.086 1.530
2.109 1.695 7.851
-2.538 5.086 8.708
-0.535 5.086 2.917
0.580 3.440 7.569
0.580 6.732 7.569
2.846 0.049 1.812
2.846 3.342 1.812
3.962 1.695 6.464
5.964 1.695 0.673

***

Table of size of the total moment (μB/cell), in record order: 10.00; 6.26; 7.94; 3.00; 4.00; 6.00